Tb3H2Pb2 after structural relaxation. Source: Alexandria via LeMat-Bulk, functional GGA-PBE.

Lattice parameters (Å, degrees): 6.653 9.120 6.226 90.00 57.91 90.00
Fractional positions:
Pb1 0.388 0.773 0.787
Pb2 0.888 0.727 0.787
Pb3 0.612 0.227 0.213
Pb4 0.112 0.273 0.213
H1 0.045 0.068 0.638
H2 0.545 0.432 0.638
H3 0.455 0.568 0.362
H4 0.955 0.932 0.362
Tb1 0.201 0.421 0.667
Tb2 0.299 0.921 0.333
Tb3 0.701 0.079 0.667
Tb4 0.799 0.579 0.333
Tb5 0.500 0.500 0.000
Tb6 0.000 0.000 0.000

Volume, Å³ per atom: 22.86
Raw total energy, eV/atom: -4.4561
Total magnetization, μB/cell: 0.00
Space-group type: P2_1/c (14)

LiZr2Te after structural relaxation. Source: Alexandria via LeMat-Bulk, functional GGA-PBE.

Lattice parameters (Å, degrees): 5.576 5.576 5.576 135.81 135.81 64.28
Fractional positions:
Li1 0.250 0.750 0.500
Te1 0.750 0.250 0.500
Zr1 0.000 0.000 0.000
Zr2 0.500 0.500 0.000

Energy relative to the elements, uncorrected, kcal/mol of atoms: -7.0
Volume, Å³ per atom: 20.77
Raw total energy, eV/atom: -5.8412
Total magnetization, μB/cell: 0.00
Space-group type: I4/mmm (139)

Y3Er5Sb8 after structural relaxation. Source: Alexandria via LeMat-Bulk, functional GGA-PBE.

Lattice parameters (Å, degrees): 8.737 8.737 8.736 60.00 60.00 60.00
Fractional positions:
Sb1 0.250 0.250 0.752
Sb2 0.750 0.750 0.248
Sb3 0.250 0.748 0.752
Sb4 0.748 0.250 0.752
Sb5 0.251 0.251 0.247
Sb6 0.750 0.252 0.248
Sb7 0.749 0.749 0.753
Sb8 0.252 0.750 0.248
Er1 0.500 0.000 0.000
Er2 0.500 0.500 0.500
Er3 0.000 0.500 0.000
Er4 0.000 0.000 0.000
Er5 0.500 0.500 0.000
Y1 0.000 0.500 0.500
Y2 0.000 0.000 0.500
Y3 0.500 0.000 0.500

Energy relative to the elements, uncorrected, kcal/mol of atoms: -25.8
Volume, Å³ per atom: 29.47
Raw total energy, eV/atom: -5.8196
Total magnetization, μB/cell: 0.00
Space-group type: R-3m (166)

Ta2ReIr after structural relaxation. Source: Alexandria via LeMat-Bulk, functional GGA-PBE.

Lattice parameters (Å, degrees): 5.100 5.100 5.100 141.15 126.53 68.04
Fractional positions:
Ir1 0.750 0.250 0.500
Re1 0.250 0.750 0.500
Ta1 0.498 0.498 0.000
Ta2 0.002 0.002 0.000

Volume, Å³ per atom: 16.45
ΔH_f (0 K), meV/atom: -196
Raw total energy, eV/atom: -11.4499
Total magnetization, μB/cell: 0.00
Space-group type: Immm (71)

NdAl2Fe2Si after structural relaxation. Source: Alexandria via LeMat-Bulk, functional GGA-PBE.

Lattice parameters (Å, degrees): 4.241 4.241 5.720 90.00 90.00 90.00
Each line ends with the local moment (μB).
Fractional positions:
Nd1 0.000 0.000 0.500  0.02
Si1 0.000 0.000 0.000  -0.02
Fe1 0.000 0.500 0.000  0.51
Fe2 0.500 0.000 0.000  0.51
Al1 0.500 0.500 0.750  -0.01
Al2 0.500 0.500 0.250  -0.01

Energy relative to the elements, uncorrected, kcal/mol of atoms: -6.6
Volume, Å³ per atom: 17.15
Raw total energy, eV/atom: -6.0545
Total magnetization, μB/cell: 0.96
Space-group type: P4/mmm (123)

TbEr6Tm3Sc2 after structural relaxation. Source: Alexandria via LeMat-Bulk, functional GGA-PBE.

Lattice parameters (Å, degrees): 6.001 6.001 11.484 94.99 94.99 119.94
Fractional positions:
Sc1 0.667 0.333 0.000
Sc2 0.333 0.667 0.000
Er1 0.418 0.083 0.246
Er2 0.582 0.917 0.754
Er3 0.917 0.582 0.754
Er4 0.083 0.418 0.246
Er5 0.253 0.253 0.754
Er6 0.747 0.747 0.246
Tm1 0.500 0.500 0.500
Tm2 0.167 0.833 0.500
Tm3 0.833 0.167 0.500
Tb1 0.000 0.000 0.000

Volume, Å³ per atom: 29.41
ΔH_f (0 K), meV/atom: 38
Raw total energy, eV/atom: -4.8023
Total magnetization, μB/cell: 0.00
Space-group type: C2/m (12)

Sr2ZrFe after structural relaxation. Source: Alexandria via LeMat-Bulk, functional GGA-PBE.

Lattice parameters (Å, degrees): 6.331 6.331 6.331 137.67 137.67 61.41
Each line ends with the local moment (μB).
Fractional positions:
Zr1 0.250 0.750 0.500  -0.94
Sr1 0.000 0.000 0.000  -0.08
Sr2 0.500 0.500 0.000  -0.08
Fe1 0.750 0.250 0.500  2.77

Polymorph energy (0 for the lowest one), eV/atom: 0.559
Volume, Å³ per atom: 28.44
ΔH_f (0 K), meV/atom: 855
Raw total energy, eV/atom: -4.2388
Total magnetization, μB/cell: 0.72
Space-group type: I4/mmm (139)

PrNd6Er3 after structural relaxation. Source: Alexandria via LeMat-Bulk, functional GGA-PBE.

Lattice parameters (Å, degrees): 6.375 11.132 11.132 120.58 90.00 90.00
Fractional positions:
Pr1 0.607 0.807 0.193
Pr2 0.107 0.193 0.807
Nd1 0.049 0.709 0.628
Nd2 0.549 0.291 0.372
Nd3 0.649 0.282 0.718
Nd4 0.371 0.964 0.036
Nd5 0.371 0.057 0.475
Nd6 0.871 0.475 0.057
Nd7 0.149 0.718 0.282
Nd8 0.371 0.525 0.943
Nd9 0.049 0.372 0.291
Nd10 0.871 0.943 0.525
Nd11 0.871 0.036 0.964
Nd12 0.549 0.628 0.709
Er1 0.464 0.942 0.711
Er2 0.090 0.384 0.616
Er3 0.964 0.058 0.289
Er4 0.590 0.616 0.384
Er5 0.964 0.711 0.942
Er6 0.464 0.289 0.058

Polymorph energy (0 for the lowest one), eV/atom: 0.017
Volume, Å³ per atom: 34.01
ΔH_f (0 K), meV/atom: 143
Raw total energy, eV/atom: -4.5650
Total magnetization, μB/cell: 0.00
Space-group type: Cmc2_1 (36)

RbCaAsS4 after structural relaxation. Source: Alexandria via LeMat-Bulk, functional GGA-PBE.

Lattice parameters (Å, degrees): 6.690 6.856 9.078 90.00 107.17 90.00
Fractional positions:
S1 0.414 0.750 0.567
S2 0.413 0.750 0.174
S3 0.004 0.499 0.290
S4 0.996 0.501 0.710
S5 0.996 0.999 0.710
S6 0.004 0.001 0.290
S7 0.587 0.250 0.826
S8 0.586 0.250 0.433
Ca1 0.768 0.750 0.449
Ca2 0.232 0.250 0.551
As1 0.783 0.250 0.671
As2 0.217 0.750 0.329
Rb1 0.261 0.250 0.064
Rb2 0.739 0.750 0.936

Energy relative to the elements, uncorrected, kcal/mol of atoms: -22.7
Volume, Å³ per atom: 28.41
Raw total energy, eV/atom: -4.4293
Total magnetization, μB/cell: 0.00
Space-group type: P2_1/m (11)

Ta3VI after structural relaxation. Source: Alexandria via LeMat-Bulk, functional GGA-PBE.

Lattice parameters (Å, degrees): 4.965 4.965 4.965 90.00 90.00 90.00
Each line ends with the local moment (μB).
Fractional positions:
Ta1 0.000 0.500 0.000  -0.41
Ta2 0.500 0.000 0.000  -0.41
Ta3 0.000 0.000 0.500  -0.41
V1 0.500 0.500 0.500  2.46
I1 0.000 0.000 0.000  -0.05

Energy relative to the elements, uncorrected, kcal/mol of atoms: 52.1
Polymorph energy (0 for the lowest one), eV/atom: 0.913
Volume, Å³ per atom: 24.48
Raw total energy, eV/atom: -6.9867
Total magnetization, μB/cell: 1.14
Space-group type: Pm-3m (221)

Ba2NaAgO after structural relaxation. Source: Alexandria via LeMat-Bulk, functional GGA-PBE.

Lattice parameters (Å, degrees): 5.507 5.507 4.827 90.00 90.00 90.00
Fractional positions:
Ag1 0.500 0.500 0.500
Na1 0.000 0.000 0.500
O1 0.000 0.000 0.000
Ba1 0.000 0.500 0.000
Ba2 0.500 0.000 0.000

Energy relative to the elements, uncorrected, kcal/mol of atoms: -22.5
Volume, Å³ per atom: 29.28
Raw total energy, eV/atom: -3.5690
Total magnetization, μB/cell: 0.00
Space-group type: P4/mmm (123)

DyHf2In after structural relaxation. Source: Alexandria via LeMat-Bulk, functional GGA-PBE.

Lattice parameters (Å, degrees): 4.559 4.540 4.540 90.00 90.00 90.00
Fractional positions:
Dy1 0.500 0.000 0.000
Hf1 0.000 0.000 0.500
Hf2 0.000 0.500 0.000
In1 0.500 0.500 0.500

Polymorph energy (0 for the lowest one), eV/atom: 0.000
Volume, Å³ per atom: 23.49
ΔH_f (0 K), meV/atom: -87
Raw total energy, eV/atom: -6.8993
Total magnetization, μB/cell: 0.00
Space-group type: P4/mmm (123)

HfFe2H after structural relaxation. Source: Alexandria via LeMat-Bulk, functional GGA-PBE.

Lattice parameters (Å, degrees): 4.117 4.117 4.117 60.00 60.00 60.00
Each line ends with the local moment (μB).
Fractional positions:
Fe1 0.250 0.250 0.250  1.57
Fe2 0.750 0.750 0.750  1.57
H1 0.000 0.000 0.000  0.01
Hf1 0.500 0.500 0.500  -0.40

Polymorph energy (0 for the lowest one), eV/atom: 0.855
Volume, Å³ per atom: 12.34
Raw total energy, eV/atom: -6.8364
Total magnetization, μB/cell: 2.67
Space-group type: Fm-3m (225)

LaScP2 after structural relaxation. Source: Alexandria via LeMat-Bulk, functional GGA-PBE.

Lattice parameters (Å, degrees): 7.139 5.044 3.501 81.52 73.63 127.58
Fractional positions:
P1 0.500 0.000 0.500
P2 0.000 0.000 0.000
Sc1 0.000 0.500 0.500
La1 0.500 0.500 0.000

Polymorph energy (0 for the lowest one), eV/atom: 0.484
Volume, Å³ per atom: 21.75
ΔH_f (0 K), meV/atom: -992
Raw total energy, eV/atom: -6.5115
Total magnetization, μB/cell: 0.00
Space-group type: C2/m (12)

Sb2Se3O after structural relaxation. Source: Alexandria via LeMat-Bulk, functional GGA-PBE.

Lattice parameters (Å, degrees): 3.833 8.276 10.179 73.66 79.15 76.61
Fractional positions:
Sb1 0.594 0.286 0.526
Sb2 0.868 0.430 0.833
Sb3 0.132 0.570 0.167
Sb4 0.406 0.714 0.474
Se1 0.938 0.857 0.268
Se2 0.225 0.185 0.364
Se3 0.355 0.279 0.011
Se4 0.645 0.721 0.989
Se5 0.062 0.143 0.732
Se6 0.775 0.815 0.636
O1 0.445 0.482 0.628
O2 0.555 0.518 0.372

Energy relative to the elements, uncorrected, kcal/mol of atoms: -6.8
Volume, Å³ per atom: 24.90
Raw total energy, eV/atom: -4.2363
Total magnetization, μB/cell: 0.00
Space-group type: C2/m (12)

Ta2FeTe after structural relaxation. Source: Alexandria via LeMat-Bulk, functional GGA-PBE.

Lattice parameters (Å, degrees): 4.595 4.595 3.313 90.00 90.00 90.00
Each line ends with the local moment (μB).
Fractional positions:
Ta1 0.500 0.500 0.000  -0.07
Ta2 0.000 0.000 0.000  -0.07
Te1 0.500 0.000 0.500  0.03
Fe1 0.000 0.500 0.500  2.35

Energy relative to the elements, uncorrected, kcal/mol of atoms: 7.6
Volume, Å³ per atom: 17.48
Raw total energy, eV/atom: -8.4986
Total magnetization, μB/cell: 2.24
Space-group type: P4/mmm (123)

NdGd2Ir after structural relaxation. Source: Alexandria via LeMat-Bulk, functional GGA-PBE.

Lattice parameters (Å, degrees): 3.920 3.920 9.676 78.31 78.31 60.00
Each line ends with the local moment (μB).
Fractional positions:
Nd1 0.500 0.500 0.500  -0.08
Gd1 0.276 0.276 0.171  6.99
Gd2 0.724 0.724 0.829  6.99
Ir1 0.000 0.000 0.000  -0.06

Polymorph energy (0 for the lowest one), eV/atom: 0.048
Volume, Å³ per atom: 31.30
ΔH_f (0 K), meV/atom: -330
Raw total energy, eV/atom: -10.7779
Total magnetization, μB/cell: 13.96
Space-group type: R-3m (166)

Tm3HfAg3S8 after structural relaxation. Source: Alexandria via LeMat-Bulk, functional GGA-PBE.

Lattice parameters (Å, degrees): 7.797 7.797 7.794 120.27 90.00 120.00
Fractional positions:
Ag1 0.000 0.000 0.000
Ag2 0.000 0.500 0.000
Ag3 0.500 0.500 0.000
S1 0.765 0.530 0.274
S2 0.235 0.470 0.726
S3 0.765 0.007 0.274
S4 0.242 0.007 0.274
S5 0.254 0.509 0.265
S6 0.746 0.491 0.735
S7 0.235 0.993 0.726
S8 0.758 0.993 0.726
Tm1 0.500 0.000 0.500
Tm2 0.500 0.500 0.500
Tm3 0.000 0.500 0.500
Hf1 0.000 0.000 0.500

Energy relative to the elements, uncorrected, kcal/mol of atoms: -30.7
Volume, Å³ per atom: 22.24
Raw total energy, eV/atom: -5.6628
Total magnetization, μB/cell: 0.00
Space-group type: C2/m (12)

MgGaReTc after structural relaxation. Source: Alexandria via LeMat-Bulk, functional GGA-PBE.

Lattice parameters (Å, degrees): 4.393 4.393 4.393 60.00 60.00 60.00
Fractional positions:
Mg1 0.000 0.000 0.000
Tc1 0.750 0.750 0.750
Ga1 0.250 0.250 0.250
Re1 0.500 0.500 0.500

Volume, Å³ per atom: 14.98
ΔH_f (0 K), meV/atom: 31
Raw total energy, eV/atom: -6.8274
Total magnetization, μB/cell: 0.00
Space-group type: F-43m (216)

Hf12ScSn6 after structural relaxation. Source: Alexandria via LeMat-Bulk, functional GGA-PBE.

Lattice parameters (Å, degrees): 7.516 7.516 7.516 90.05 90.05 90.05
Fractional positions:
Hf1 0.934 0.853 0.618
Hf2 0.618 0.934 0.853
Hf3 0.521 0.446 0.803
Hf4 0.554 0.197 0.479
Hf5 0.197 0.479 0.554
Hf6 0.803 0.521 0.446
Hf7 0.382 0.066 0.147
Hf8 0.446 0.803 0.521
Hf9 0.066 0.147 0.382
Hf10 0.479 0.554 0.197
Hf11 0.147 0.382 0.066
Hf12 0.853 0.618 0.934
Sn1 0.277 0.129 0.742
Sn2 0.723 0.871 0.258
Sn3 0.742 0.277 0.129
Sn4 0.258 0.723 0.871
Sn5 0.129 0.742 0.277
Sn6 0.871 0.258 0.723
Sc1 0.000 0.000 0.000

Volume, Å³ per atom: 22.34
ΔH_f (0 K), meV/atom: -156
Raw total energy, eV/atom: -8.0401
Total magnetization, μB/cell: 0.00
Space-group type: R-3 (148)